Computed, not measured: an optimized crystal structure of AlSbAu4 at the PBE level of DFT.

Lattice parameters (Å, degrees): 3.6531 3.6531 8.5523 89.99 89.99 90.00
Last column: nearest neighbours and their distance in Å.
Positions (direct):
Au1 0.5000 0.5000 0.8180  1 Al 2.72, 4 Au 2.93, 4 Sb 3.02
Au2 0.9999 0.9999 0.3434  5 Au 2.68-2.93, 4 Al 2.91, 1 Sb 2.94
Sb1 0.0000 0.0000 0.0000  10 Au 2.94-3.02
Au3 0.5000 0.5000 0.1820  1 Al 2.72, 4 Au 2.93, 4 Sb 3.02
Au4 0.0001 0.0001 0.6566  5 Au 2.68-2.93, 4 Al 2.91, 1 Sb 2.94
Al1 0.5000 0.5000 0.5000  10 Au 2.72-2.91

## Properties
Electronic total energy ... -3.6032 eV/atom
N(E_F) ... 2.40 states/eV/f.u.
Formation energy without anion corrections ... -10.4 kJ per mole of atoms
E above lowest polymorph ... 0 meV per atom

=====

Computed, not measured: an optimized crystal structure of Al2SbAu at the PBE level of DFT.

Lattice parameters (Å, degrees): 5.0766 5.0766 5.0766 127.55 127.55 77.35
Last column: nearest neighbours and their distance in Å.
Positions (direct):
Al1 0.0000 0.0000 0.0000  4 Au 2.99, 4 Sb 2.99, 4 Al 3.17
Sb1 0.7500 0.2500 0.5000  8 Al 2.99, 4 Au 3.17
Al2 0.5000 0.5000 0.0000  4 Sb 2.99, 4 Au 2.99, 4 Al 3.17
Au1 0.2500 0.7500 0.5000  8 Al 2.99, 4 Sb 3.17

## Properties
Electronic total energy ... -3.6393 eV/atom
N(E_F) ... 1.31 states/eV/f.u.
Formation energy without anion corrections ... 7.9 kJ per mole of atoms

=====

Computed, not measured: an optimized crystal structure of Al2SbAu8 at the PBE level of DFT.

Lattice parameters (Å, degrees): 3.8732 6.7175 8.4519 107.20 103.25 90.00
Last column: nearest neighbours and their distance in Å.
Positions (direct):
Au1 0.3205 0.0657 0.6410  3 Al 2.76-2.78, 7 Au 2.91-3.08
Sb1 0.5000 0.0000 0.0000  8 Au 2.94-3.12
Au2 0.1732 0.2605 0.3464  3 Al 2.61-2.69, 2 Au 2.86
Au3 0.6795 0.9343 0.3590  3 Al 2.76-2.78, 7 Au 2.91-3.08
Au4 0.0493 0.7275 0.0987  1 Al 2.76, 7 Au 2.91-3.02, 2 Sb 2.94
Au5 0.5944 0.4559 0.1889  2 Al 2.76, 7 Au 2.86-3.09, 1 Sb 2.98
Au6 0.4056 0.5441 0.8111  2 Al 2.76, 7 Au 2.86-3.09, 1 Sb 2.98
Au7 0.9507 0.2725 0.9013  1 Al 2.76, 7 Au 2.91-3.02, 2 Sb 2.94
Al1 0.2080 0.6666 0.4159  9 Au 2.61-2.78
Au8 0.8268 0.7395 0.6536  3 Al 2.61-2.69, 2 Au 2.86
Al2 0.7920 0.3334 0.5841  9 Au 2.61-2.78

## Properties
Electronic total energy ... -3.5946 eV/atom
N(E_F) ... 3.22 states/eV/f.u.
Formation energy without anion corrections ... -15.0 kJ per mole of atoms

=====

Computed, not measured: an optimized crystal structure of AlSb2Au at the PBE level of DFT.

Lattice parameters (Å, degrees): 5.4066 5.4066 5.4066 136.17 117.89 79.09
Last column: nearest neighbours and their distance in Å.
Positions (direct):
Al1 0.7500 0.2500 0.5000  4 Sb 2.93
Au1 0.2500 0.7500 0.5000  4 Sb 2.87
Sb1 0.0051 0.0051 0.0000  2 Au 2.87, 2 Al 2.93
Sb2 0.4949 0.4949 0.0000  2 Au 2.87, 2 Al 2.93

## Properties
Electronic total energy ... -3.6361 eV/atom
N(E_F) ... 2.06 states/eV/f.u.
Formation energy without anion corrections ... 17.4 kJ per mole of atoms

=====

Computed, not measured: an optimized crystal structure of AlSbAu2 at the PBE level of DFT.

Lattice parameters (Å, degrees): 3.8772 6.6509 5.6005 37.07 90.00 90.00
Last column: nearest neighbours and their distance in Å.
Positions (direct):
Al1 0.0000 0.0000 0.5000  6 Au 2.79-2.80
Au1 0.5000 0.5000 0.0000  4 Al 2.79, 2 Sb 2.80
Au2 0.0000 0.0000 0.0000  4 Sb 2.79, 2 Al 2.80
Sb1 0.5000 0.5000 0.5000  6 Au 2.79-2.80

## Properties
Electronic total energy ... -3.6846 eV/atom
N(E_F) ... 1.63 states/eV/f.u.
Formation energy without anion corrections ... -7.7 kJ per mole of atoms
E above lowest polymorph ... 87 meV per atom

=====

Computed, not measured: an optimized crystal structure of AlSbAu2 at the PBE level of DFT.

Lattice parameters (Å, degrees): 3.9830 3.9830 6.6663 72.62 72.62 60.00
Last column: nearest neighbours and their distance in Å.
Positions (direct):
Al1 0.6675 0.6675 0.9974  6 Au 2.64-2.65
Au1 0.2640 0.2640 0.2080  3 Al 2.65, 3 Sb 2.95
Sb1 0.4990 0.4990 0.5030  6 Au 2.92-2.95, 1 Al 3.16
Au2 0.0695 0.0695 0.7915  3 Al 2.64, 3 Sb 2.92

## Properties
Electronic total energy ... -3.7116 eV/atom
N(E_F) ... 1.56 states/eV/f.u.
Formation energy without anion corrections ... -10.3 kJ per mole of atoms
E above lowest polymorph ... 60 meV per atom

=====

Computed, not measured: an optimized crystal structure of AlSbAu4 at the PBE level of DFT.

Lattice parameters (Å, degrees): 5.5768 5.5768 5.5768 60.00 60.00 60.00
Last column: nearest neighbours and their distance in Å.
Positions (direct):
Sb1 0.7500 0.7500 0.7500  12 Au 3.27, 4 Al 3.42
Au1 0.3748 0.3748 0.8756  6 Au 2.78-2.79
Au2 0.8756 0.3748 0.3748  6 Au 2.78-2.79
Au3 0.3748 0.3748 0.3748  6 Au 2.78-2.79
Au4 0.3748 0.8756 0.3748  6 Au 2.78-2.79
Al1 0.0000 0.0000 0.0000  12 Au 3.27, 4 Sb 3.42

## Properties
Electronic total energy ... -3.4135 eV/atom
N(E_F) ... 2.67 states/eV/f.u.
Formation energy without anion corrections ... 7.9 kJ per mole of atoms
E above lowest polymorph ... 190 meV per atom

=====

Computed, not measured: an optimized crystal structure of Al2SbAu at the PBE level of DFT.

Lattice parameters (Å, degrees): 4.1682 4.1682 6.3069 74.24 74.24 54.13
Last column: nearest neighbours and their distance in Å.
Positions (direct):
Sb1 0.2500 0.2500 0.2500  6 Al 2.93-2.94
Al1 0.0093 0.0093 0.9556  3 Au 2.63-2.66, 3 Sb 2.93-2.94
Au1 0.7500 0.7500 0.7500  6 Al 2.63-2.66
Al2 0.4907 0.4907 0.5444  3 Au 2.63-2.66, 3 Sb 2.93-2.94

## Properties
Electronic total energy ... -3.8233 eV/atom
N(E_F) ... 1.75 states/eV/f.u.
Formation energy without anion corrections ... -9.9 kJ per mole of atoms